# LiScIn2I6 | Alexandria | GGA-PBE | relaxed
# Fermi-level density of states in states/eV/atom: 0.0000
# Energy relative to the elements, uncorrected in eV/atom: -0.8860
# V in Å³ per cell: 390.6
data_LiScIn2I6
_chemical_formula_sum 'Li1 Sc1 In2 I6'
_cell_length_a 8.1689
_cell_length_b 8.1740
_cell_length_c 8.2355
_cell_angle_alpha 60.26
_cell_angle_beta 89.99
_cell_angle_gamma 60.03
_symmetry_space_group_name_H-M 'P 1'
_symmetry_Int_Tables_number 1
loop_
_symmetry_equiv_pos_as_xyz
'x,y,z'
loop_
_atom_site_label
_atom_site_type_symbol
_atom_site_fract_x
_atom_site_fract_y
_atom_site_fract_z
Li1 Li 0.0000 0.0000 0.0000
Sc1 Sc 0.5102 0.9803 0.5287
In1 In 0.2155 0.5694 0.6448
In2 In 0.7222 0.5562 0.1646
I1 I 0.1882 0.0546 0.2914
I2 I 0.2793 0.0516 0.7880
I3 I 0.3472 0.4648 0.2911
I4 I 0.6695 0.4905 0.7874
I5 I 0.7574 0.8960 0.2909
I6 I 0.8408 0.8810 0.7874

=====

# LiInSiI2 | Alexandria | GGA-PBE | relaxed
# Fermi-level density of states in states/eV/atom: 0.5872
# Energy relative to the elements, uncorrected in eV/atom: 0.1900
# V in Å³ per cell: 201.3
data_LiInSiI2
_chemical_formula_sum 'Li1 In1 Si1 I2'
_cell_length_a 6.2482
_cell_length_b 6.2482
_cell_length_c 5.1565
_cell_angle_alpha 90.00
_cell_angle_beta 90.00
_cell_angle_gamma 90.00
_symmetry_space_group_name_H-M 'P 4/m m m'
_symmetry_Int_Tables_number 123
_symmetry_space_group_name_Hall '-P 4 2'
loop_
_atom_site_label
_atom_site_type_symbol
_atom_site_fract_x
_atom_site_fract_y
_atom_site_fract_z
Li1 Li 0.0000 0.0000 0.0000
In1 In 0.5000 0.5000 0.5000
Si1 Si 0.5000 0.5000 0.0000
I1 I 0.0000 0.5000 0.5000

=====

# LiInSnI2 | Alexandria | GGA-PBE | relaxed
# Fermi-level density of states in states/eV/atom: 0.5577
# Energy relative to the elements, uncorrected in eV/atom: -0.0522
# V in Å³ per cell: 232.4
data_LiInSnI2
_chemical_formula_sum 'Li1 In1 Sn1 I2'
_cell_length_a 6.2809
_cell_length_b 6.2809
_cell_length_c 5.8911
_cell_angle_alpha 90.00
_cell_angle_beta 90.00
_cell_angle_gamma 90.00
_symmetry_space_group_name_H-M 'P 4/m m m'
_symmetry_Int_Tables_number 123
_symmetry_space_group_name_Hall '-P 4 2'
loop_
_atom_site_label
_atom_site_type_symbol
_atom_site_fract_x
_atom_site_fract_y
_atom_site_fract_z
Li1 Li 0.0000 0.0000 0.0000
In1 In 0.5000 0.5000 0.0000
Sn1 Sn 0.5000 0.5000 0.5000
I1 I 0.0000 0.5000 0.5000

=====

# LiIn2SnI5 | Alexandria | GGA-PBE | relaxed
# Fermi-level density of states in states/eV/atom: 0.0000
# Energy relative to the elements, uncorrected in eV/atom: -0.6356
# V in Å³ per cell: 1427.4
data_LiIn2SnI5
_chemical_formula_sum 'Li4 In8 Sn4 I20'
_cell_length_a 4.6297
_cell_length_b 20.3276
_cell_length_c 15.1678
_cell_angle_alpha 90.00
_cell_angle_beta 90.00
_cell_angle_gamma 90.00
_symmetry_space_group_name_H-M 'C m c 21'
_symmetry_Int_Tables_number 36
loop_
_symmetry_equiv_pos_as_xyz
'x,y,z'
'-x,-y,z+1/2'
'-x,y,z'
'x,-y,z+1/2'
'x+1/2,y+1/2,z'
'-x+1/2,-y+1/2,z+1/2'
'-x+1/2,y+1/2,z'
'x+1/2,-y+1/2,z+1/2'
loop_
_atom_site_label
_atom_site_type_symbol
_atom_site_fract_x
_atom_site_fract_y
_atom_site_fract_z
Li1 Li 0.0000 0.0573 0.0000
In1 In 0.0000 0.3723 0.8865
In2 In 0.0000 0.4086 0.2308
Sn1 Sn 0.0000 0.2921 0.5966
I1 I 0.0000 0.0056 0.3408
I2 I 0.0000 0.1388 0.5667
I3 I 0.0000 0.1918 0.9507
I4 I 0.0000 0.2172 0.2433
I5 I 0.0000 0.4536 0.6004

=====

# Li2TbInI6 | Alexandria | GGA-PBE | relaxed
# Fermi-level density of states in states/eV/atom: 0.0000
# Energy relative to the elements, uncorrected in eV/atom: -1.0980
# V in Å³ per cell: 1149.2
data_Li2TbInI6
_chemical_formula_sum 'Li6 Tb3 In3 I18'
_cell_length_a 7.8377
_cell_length_b 7.8377
_cell_length_c 21.6030
_cell_angle_alpha 90.00
_cell_angle_beta 90.00
_cell_angle_gamma 120.00
_symmetry_space_group_name_H-M 'R 3'
_symmetry_Int_Tables_number 146
_symmetry_space_group_name_Hall 'R 3'
loop_
_atom_site_label
_atom_site_type_symbol
_atom_site_fract_x
_atom_site_fract_y
_atom_site_fract_z
Li1 Li 0.0000 0.0000 0.0000
Li2 Li 0.0000 0.0000 0.4945
Tb1 Tb 0.0000 0.0000 0.6789
In1 In 0.0000 0.0000 0.1912
I1 I 0.0071 0.3362 0.0823
I2 I 0.0074 0.6082 0.2550

=====

# LiInTe2I | Alexandria | GGA-PBE | relaxed
# Relative energy among the computed polymorphs in eV per atom: 0.000
# Fermi-level density of states in states/eV/atom: 0.7938
# Energy relative to the elements, uncorrected in eV/atom: -0.0852
# V in Å³ per cell: 174.9
data_LiInTe2I
_chemical_formula_sum 'Li1 In1 Te2 I1'
_cell_length_a 4.9620
_cell_length_b 4.9620
_cell_length_c 7.1021
_cell_angle_alpha 90.00
_cell_angle_beta 90.00
_cell_angle_gamma 90.00
_symmetry_space_group_name_H-M 'P 4/m m m'
_symmetry_Int_Tables_number 123
_symmetry_space_group_name_Hall '-P 4 2'
loop_
_atom_site_label
_atom_site_type_symbol
_atom_site_fract_x
_atom_site_fract_y
_atom_site_fract_z
Li1 Li 0.0000 0.0000 0.0000
In1 In 0.5000 0.5000 0.5000
Te1 Te 0.0000 0.5000 0.0000
I1 I 0.0000 0.0000 0.5000

=====

- Which formula does entry 5 have?
  Li2TbInI6

=====

- Which formula does entry 3 have?
  LiInSnI2

=====

- What is the formula in the third record?
  LiInSnI2

=====

- The lowest V belongs to which entry?
  LiInTe2I